Entry 1:
Material: Ba2Sn3Au5
Method: DFT, GGA-PBE
State: optimized geometry Values from VASP.

Structure (Quantum ESPRESSO input):
```
&SYSTEM
  ibrav = 0, nat = 10, ntyp = 3
/
ATOMIC_SPECIES
Ba 137.33 Ba.upf
Sn 118.71 Sn.upf
Au 196.97 Au.upf
ATOMIC_POSITIONS crystal
Ba 0.500 0.000 0.221
Ba 0.000 0.500 0.779
Sn 0.500 0.000 0.638
Sn 0.000 0.500 0.362
Sn 0.000 0.000 0.500
Au 0.500 0.500 0.000
Au 0.000 0.000 0.000
Au 0.500 0.000 0.879
Au 0.000 0.500 0.121
Au 0.500 0.500 0.500
CELL_PARAMETERS angstrom
4.966 0.000 0.000
0.000 4.966 0.000
0.000 0.000 11.173
```

Computed properties:
The energy above the most stable polymorph in this dataset is 79 meV per atom. The value obtained for the calculated density is 9.736 g/cm³. The calculated formation energy comes out at -486 meV/atom.

Entry 2:
Material: Ba3Sn3Au8
Method: DFT, GGA-PBE
State: optimized geometry Values from VASP.

Structure (Quantum ESPRESSO input):
```
&SYSTEM
  ibrav = 0, nat = 14, ntyp = 3
/
ATOMIC_SPECIES
Ba 137.33 Ba.upf
Sn 118.71 Sn.upf
Au 196.97 Au.upf
ATOMIC_POSITIONS crystal
Ba 0.299 0.749 0.653
Ba 0.701 0.251 0.347
Ba 0.000 0.000 0.000
Sn 0.000 0.500 0.500
Sn 0.676 0.665 0.984
Sn 0.324 0.335 0.016
Au 0.110 0.157 0.622
Au 0.890 0.843 0.378
Au 0.864 0.432 0.840
Au 0.136 0.568 0.160
Au 0.514 0.675 0.296
Au 0.486 0.325 0.704
Au 0.362 0.022 0.255
Au 0.638 0.978 0.745
CELL_PARAMETERS angstrom
4.611 0.000 1.216
1.417 8.260 3.978
-0.057 0.007 9.564
```

Computed properties:
The energy above the most stable polymorph in this dataset is 0 meV per atom. The value obtained for the calculated density is 10.671 g/cm³. The calculated formation energy comes out at -552 meV/atom.

Entry 3:
Material: BaSnAu6
Method: DFT, GGA-PBE
State: optimized geometry Values from VASP.

Structure (Quantum ESPRESSO input):
```
&SYSTEM
  ibrav = 0, nat = 8, ntyp = 3
/
ATOMIC_SPECIES
Ba 137.33 Ba.upf
Sn 118.71 Sn.upf
Au 196.97 Au.upf
ATOMIC_POSITIONS crystal
Ba 0.500 0.500 0.500
Sn 0.000 0.000 0.000
Au 0.500 0.756 0.000
Au 0.756 0.000 0.500
Au 0.000 0.500 0.244
Au 0.244 0.000 0.500
Au 0.500 0.244 0.000
Au 0.000 0.500 0.756
CELL_PARAMETERS angstrom
5.668 0.000 0.000
0.000 5.668 0.000
0.000 0.000 5.668
```

Computed properties:
The value obtained for the calculated density is 13.111 g/cm³. The calculated formation energy comes out at -112 meV/atom.

Entry 4:
Material: BaSnAu
Method: DFT, GGA-PBE
State: optimized geometry Values from VASP.

Structure (Quantum ESPRESSO input):
```
&SYSTEM
  ibrav = 0, nat = 24, ntyp = 3
/
ATOMIC_SPECIES
Ba 137.33 Ba.upf
Sn 118.71 Sn.upf
Au 196.97 Au.upf
ATOMIC_POSITIONS crystal
Ba 0.500 0.796 0.745
Ba 0.000 0.298 0.500
Ba 0.500 0.700 0.500
Ba 0.000 0.300 0.000
Ba 0.000 0.204 0.755
Ba 0.000 0.204 0.245
Ba 0.500 0.702 0.000
Ba 0.500 0.796 0.255
Sn 0.000 0.918 0.592
Sn 0.000 0.586 0.843
Sn 0.500 0.414 0.343
Sn 0.000 0.586 0.157
Sn 0.500 0.414 0.657
Sn 0.000 0.918 0.408
Sn 0.500 0.082 0.092
Sn 0.500 0.082 0.908
Au 0.000 0.913 0.109
Au 0.000 0.913 0.891
Au 0.500 0.417 0.848
Au 0.000 0.583 0.348
Au 0.500 0.417 0.152
Au 0.500 0.087 0.391
Au 0.500 0.087 0.609
Au 0.000 0.583 0.652
CELL_PARAMETERS angstrom
-1.965 3.782 -2.640
-6.829 -4.786 -1.773
-7.599 5.713 13.842
```

Computed properties:
The value obtained for the calculated density is 8.385 g/cm³. The calculated formation energy comes out at -706 meV/atom.

Entry 5:
Material: Ba2Sn2Au15
Method: DFT, GGA-PBE
State: optimized geometry Values from VASP.

Structure (Quantum ESPRESSO input):
```
&SYSTEM
  ibrav = 0, nat = 19, ntyp = 3
/
ATOMIC_SPECIES
Ba 137.33 Ba.upf
Sn 118.71 Sn.upf
Au 196.97 Au.upf
ATOMIC_POSITIONS crystal
Ba 0.347 0.347 0.347
Ba 0.653 0.653 0.653
Sn 0.098 0.098 0.098
Sn 0.902 0.902 0.902
Au 0.500 0.000 0.000
Au 0.000 0.000 0.500
Au 0.000 0.500 0.000
Au 0.000 0.684 0.316
Au 0.684 0.316 0.000
Au 0.316 0.000 0.684
Au 0.316 0.684 0.000
Au 0.684 0.000 0.316
Au 0.000 0.316 0.684
Au 0.161 0.656 0.656
Au 0.656 0.656 0.161
Au 0.656 0.161 0.656
Au 0.839 0.344 0.344
Au 0.344 0.344 0.839
Au 0.344 0.839 0.344
CELL_PARAMETERS angstrom
7.484 -0.088 -0.078
0.884 7.432 -0.078
0.884 0.776 7.392
```

Computed properties:
The value obtained for the calculated density is 13.949 g/cm³. The calculated formation energy comes out at -288 meV/atom.

Entry 6:
Material: BaSn12Au6
Method: DFT, GGA-PBE
State: optimized geometry Values from VASP.

Structure (Quantum ESPRESSO input):
```
&SYSTEM
  ibrav = 0, nat = 19, ntyp = 3
/
ATOMIC_SPECIES
Ba 137.33 Ba.upf
Sn 118.71 Sn.upf
Au 196.97 Au.upf
ATOMIC_POSITIONS crystal
Ba 0.000 0.000 0.000
Sn 0.887 0.113 0.500
Sn 0.829 0.569 0.569
Sn 0.569 0.569 0.829
Sn 0.431 0.171 0.431
Sn 0.431 0.431 0.171
Sn 0.171 0.431 0.431
Sn 0.113 0.500 0.887
Sn 0.500 0.887 0.113
Sn 0.113 0.887 0.500
Sn 0.887 0.500 0.113
Sn 0.500 0.113 0.887
Sn 0.569 0.829 0.569
Au 0.765 0.262 0.262
Au 0.262 0.262 0.765
Au 0.262 0.765 0.262
Au 0.738 0.738 0.235
Au 0.235 0.738 0.738
Au 0.738 0.235 0.738
CELL_PARAMETERS angstrom
-7.742 -3.568 0.083
5.434 -5.561 3.496
-0.273 6.858 5.056
```

Computed properties:
The value obtained for the calculated density is 8.974 g/cm³. The calculated formation energy comes out at -172 meV/atom.

Entry 7:
Material: BaSn8Au2
Method: DFT, GGA-PBE
State: optimized geometry Values from VASP.

Structure (Quantum ESPRESSO input):
```
&SYSTEM
  ibrav = 0, nat = 11, ntyp = 3
/
ATOMIC_SPECIES
Ba 137.33 Ba.upf
Sn 118.71 Sn.upf
Au 196.97 Au.upf
ATOMIC_POSITIONS crystal
Ba 0.500 0.500 0.500
Sn 0.754 0.754 0.195
Sn 0.754 0.246 0.805
Sn 0.754 0.754 0.805
Sn 0.754 0.246 0.195
Sn 0.246 0.754 0.195
Sn 0.246 0.754 0.805
Sn 0.246 0.246 0.195
Sn 0.246 0.246 0.805
Au 0.500 0.000 0.000
Au 0.000 0.500 0.000
CELL_PARAMETERS angstrom
6.362 0.000 0.000
0.000 6.362 0.000
0.000 0.000 9.306
```

Computed properties:
The value obtained for the calculated density is 6.528 g/cm³. The calculated formation energy comes out at -89 meV/atom.

Entry 8:
Material: BaSn3Au
Method: DFT, GGA-PBE
State: optimized geometry Values from VASP.

Structure (Quantum ESPRESSO input):
```
&SYSTEM
  ibrav = 0, nat = 5, ntyp = 3
/
ATOMIC_SPECIES
Au 196.97 Au.upf
Ba 137.33 Ba.upf
Sn 118.71 Sn.upf
ATOMIC_POSITIONS crystal
Au 0.500 0.500 0.500
Ba 0.000 0.000 0.000
Sn 0.000 0.500 0.000
Sn 0.000 0.000 0.500
Sn 0.500 0.000 0.000
CELL_PARAMETERS angstrom
-0.666 5.622 -2.552
-2.934 -2.546 -4.844
-5.432 0.686 2.929
```

Computed properties:
The value obtained for the calculated density is 4.788 g/cm³. The calculated formation energy comes out at 1231 meV/atom.

Entry 9:
Material: BaSnAu3
Method: DFT, GGA-PBE
State: optimized geometry Values from VASP.

Structure (Quantum ESPRESSO input):
```
&SYSTEM
  ibrav = 0, nat = 20, ntyp = 3
/
ATOMIC_SPECIES
Ba 137.33 Ba.upf
Sn 118.71 Sn.upf
Au 196.97 Au.upf
ATOMIC_POSITIONS crystal
Ba 0.750 0.812 0.962
Ba 0.250 0.688 0.462
Ba 0.750 0.312 0.538
Ba 0.250 0.188 0.038
Sn 0.250 0.046 0.632
Sn 0.250 0.546 0.868
Sn 0.750 0.454 0.132
Sn 0.750 0.954 0.368
Au 0.250 0.587 0.131
Au 0.750 0.413 0.869
Au 0.250 0.087 0.369
Au 0.750 0.913 0.631
Au 0.250 0.296 0.747
Au 0.750 0.204 0.247
Au 0.250 0.796 0.753
Au 0.750 0.628 0.681
Au 0.250 0.372 0.319
Au 0.750 0.128 0.819
Au 0.750 0.704 0.253
Au 0.250 0.872 0.181
CELL_PARAMETERS angstrom
5.036 0.000 0.000
0.000 9.807 0.000
0.000 0.000 10.751
```

Computed properties:
The energy above the most stable polymorph in this dataset is 0 meV per atom. The value obtained for the calculated density is 10.594 g/cm³. The calculated formation energy comes out at -485 meV/atom.

Entry 10:
Material: BaSn6Au4
Method: DFT, GGA-PBE
State: optimized geometry Values from VASP.

Structure (Quantum ESPRESSO input):
```
&SYSTEM
  ibrav = 0, nat = 11, ntyp = 3
/
ATOMIC_SPECIES
Ba 137.33 Ba.upf
Sn 118.71 Sn.upf
Au 196.97 Au.upf
ATOMIC_POSITIONS crystal
Ba 0.000 0.000 0.000
Sn 0.000 0.538 0.076
Sn 0.500 0.598 0.799
Sn 0.000 0.538 0.462
Sn 0.000 0.924 0.462
Sn 0.500 0.201 0.799
Sn 0.500 0.201 0.402
Au 0.500 0.813 0.626
Au 0.500 0.374 0.187
Au 0.500 0.813 0.187
Au 0.000 0.333 0.667
CELL_PARAMETERS angstrom
4.436 0.000 0.000
0.000 8.572 0.000
0.000 -4.286 7.424
```

Computed properties:
The value obtained for the calculated density is 9.631 g/cm³. The calculated formation energy comes out at -287 meV/atom.

Entry 11:
Material: Ba2Sn2Au3
Method: DFT, GGA-PBE
State: optimized geometry Values from VASP.

Structure (Quantum ESPRESSO input):
```
&SYSTEM
  ibrav = 0, nat = 14, ntyp = 3
/
ATOMIC_SPECIES
Ba 137.33 Ba.upf
Sn 118.71 Sn.upf
Au 196.97 Au.upf
ATOMIC_POSITIONS crystal
Ba 0.000 0.000 0.508
Ba 0.500 0.508 0.500
Ba 0.492 0.992 0.992
Ba 0.008 0.500 0.000
Sn 0.000 0.000 0.935
Sn 0.500 0.935 0.500
Sn 0.065 0.565 0.565
Sn 0.435 0.500 0.000
Au 0.748 0.750 0.998
Au 0.752 0.250 0.502
Au 0.002 0.252 0.250
Au 0.498 0.248 0.750
Au 0.250 0.998 0.248
Au 0.750 0.502 0.252
CELL_PARAMETERS angstrom
8.339 0.000 0.000
-2.780 7.862 0.000
-2.780 -3.931 6.808
```

Computed properties:
The value obtained for the calculated density is 8.207 g/cm³. The calculated formation energy comes out at -577 meV/atom.

Entry 12:
Material: BaSnAu3
Method: DFT, GGA-PBE
State: optimized geometry Values from VASP.

Structure (Quantum ESPRESSO input):
```
&SYSTEM
  ibrav = 0, nat = 5, ntyp = 3
/
ATOMIC_SPECIES
Au 196.97 Au.upf
Ba 137.33 Ba.upf
Sn 118.71 Sn.upf
ATOMIC_POSITIONS crystal
Au 0.000 0.500 0.000
Au 0.000 0.000 0.500
Au 0.500 0.000 0.000
Ba 0.500 0.500 0.500
Sn 0.000 0.000 0.000
CELL_PARAMETERS angstrom
-4.565 -0.074 -2.778
-1.440 -4.508 2.485
-2.378 2.871 3.830
```

Computed properties:
The energy above the most stable polymorph in this dataset is 102 meV per atom. The value obtained for the calculated density is 9.211 g/cm³. The calculated formation energy comes out at -383 meV/atom.

Question: What is the calculated formation energy in the eighth record?
Answer: 1231 meV/atom